Record 1
Pm6TeRh2S3 after structural relaxation. Source: the Alexandria database, functional PBE.

```
Pm6TeRh2S3
1.0
4.056 0.000 0.000
0.000 8.584 0.169
-2.028 -2.617 8.753
Pm Te Rh S
6 1 2 3
Cartesian
0.000 5.979 5.790
2.028 4.118 3.073
2.028 -0.012 3.131
0.000 2.345 0.161
2.028 3.622 8.761
0.000 1.849 5.849
2.028 0.000 0.000
2.028 3.938 5.879
0.000 2.030 3.043
2.028 4.292 0.084
2.028 -0.408 5.984
0.000 6.376 2.937
```

Summary:
- V (Å³/atom) = 25.545
- energy (eV per atom) = -6.309

---

Record 2
PmThRhS after structural relaxation. Source: the Alexandria database, functional PBE.

```
PmThRhS
1.0
3.982 -0.001 0.000
-1.991 3.449 0.000
-1.990 -1.149 7.376
Pm Th Rh S
1 1 1 1
Cartesian
0.376 -0.252 4.678
-1.614 3.196 0.678
-1.614 0.898 6.497
2.367 0.898 2.675
```

Summary:
- V (Å³/atom) = 25.319
- energy (eV per atom) = -7.163

---

Record 3
PmSb4Rh6 after structural relaxation. Source: the Alexandria database, functional PBE.

```
PmSb4Rh6
1.0
-0.256 2.299 3.324
-4.578 -5.186 3.235
7.566 -0.483 0.917
Pm Sb Rh
1 4 6
Cartesian
0.000 0.000 0.000
0.843 -3.344 4.845
-0.432 -0.925 3.074
-2.384 -3.137 4.454
3.518 -2.051 1.690
-1.920 -2.808 1.795
3.178 -2.351 4.338
1.069 -2.999 2.157
-0.739 -5.048 3.435
5.012 -0.273 3.042
1.980 -0.079 2.675
```

Summary:
- V (Å³/atom) = 18.593
- energy (eV per atom) = -6.553

---

Record 4
Pm3Sb5Rh6 after structural relaxation. Source: the Alexandria database, functional PBE.

```
Pm3Sb5Rh6
1.0
4.324 0.000 0.000
0.000 10.126 0.000
0.000 0.000 13.367
Pm Sb Rh
6 10 12
Cartesian
0.000 2.507 8.953
2.162 7.619 2.270
2.162 7.619 11.097
0.000 2.531 0.000
2.162 7.595 6.683
0.000 2.507 4.414
0.000 5.315 11.762
0.000 8.621 8.921
0.000 8.570 0.000
2.162 4.811 8.288
2.162 1.557 6.683
0.000 5.315 1.605
2.162 4.811 5.078
0.000 8.621 4.446
2.162 1.505 11.129
2.162 1.505 2.237
0.000 0.019 11.140
2.162 10.107 8.910
2.162 4.086 10.787
2.162 5.166 0.000
0.000 4.960 6.683
0.000 6.040 9.263
0.000 6.040 4.103
2.162 0.035 0.000
0.000 0.019 2.227
2.162 4.086 2.580
0.000 10.091 6.683
2.162 10.107 4.456
```

Summary:
- V (Å³/atom) = 20.905
- energy (eV per atom) = -6.465

---

Record 5
Pm3SbRh after structural relaxation. Source: the Alexandria database, functional PBE.

```
Pm3SbRh
1.0
-0.661 1.697 3.947
2.908 -6.740 3.384
15.193 6.443 -0.225
Pm Sb Rh
12 4 4
Cartesian
9.245 1.562 2.074
5.074 -3.007 5.732
14.661 3.783 4.419
11.450 -1.566 6.181
8.196 -0.163 5.033
5.991 2.965 0.926
16.750 0.758 3.676
4.922 0.916 4.021
12.519 0.484 3.085
12.367 4.406 1.374
0.691 0.641 3.430
2.780 -2.384 2.687
14.177 0.551 5.728
3.264 0.848 1.379
11.233 3.289 4.058
6.208 -1.890 3.049
15.154 4.760 1.688
10.336 -1.270 3.474
7.105 2.669 3.633
2.287 -3.361 5.418
```

Summary:
- V (Å³/atom) = 28.997
- energy relative to the lowest polymorph listed for this composition (meV per atom) = 0
- energy (eV per atom) = -5.946

---

Record 6
PmSb2Rh2 after structural relaxation. Source: the Alexandria database, functional PBE.

```
PmSb2Rh2
1.0
-1.345 -1.086 4.167
-2.250 -3.545 -1.650
8.622 -6.035 1.210
Pm Sb Rh
2 4 4
Cartesian
1.427 -2.012 2.378
5.398 -6.338 0.091
2.514 -5.333 1.864
4.311 -3.018 0.605
0.017 -2.572 -0.665
6.808 -5.779 3.134
2.102 -4.031 -0.372
4.722 -4.319 2.841
-1.797 -2.316 1.259
0.000 0.000 0.000
```

Summary:
- V (Å³/atom) = 21.561
- energy (eV per atom) = -6.329

---

Record 7
PmSb2Rh after structural relaxation. Source: the Alexandria database, functional PBE.

```
PmSb2Rh
1.0
-3.371 2.403 0.653
-0.939 -0.072 -4.577
-2.613 -3.828 0.597
Sb Rh Pm
2 1 1
Cartesian
-1.307 -1.914 0.298
-0.469 -0.036 -2.288
-3.461 -0.749 -1.663
-1.685 1.201 0.327
```

Summary:
- V (Å³/atom) = 22.875
- energy relative to the lowest polymorph listed for this composition (meV per atom) = 338
- energy (eV per atom) = -5.563

---

Record 8
PmSb2Rh after structural relaxation. Source: the Alexandria database, functional PBE.

```
PmSb2Rh
1.0
4.396 0.000 0.000
0.000 4.396 0.000
0.000 0.000 9.966
Pm Sb Rh
2 4 2
Cartesian
0.000 2.198 2.493
2.198 0.000 7.473
2.198 0.000 1.511
0.000 2.198 8.455
0.000 0.000 4.983
2.198 2.198 4.983
2.198 2.198 0.000
0.000 0.000 0.000
```

Summary:
- V (Å³/atom) = 24.069
- energy relative to the lowest polymorph listed for this composition (meV per atom) = 0
- energy (eV per atom) = -5.901

---

Record 9
PmSb2Rh4 after structural relaxation. Source: the Alexandria database, functional PBE.

```
PmSb2Rh4
1.0
-3.408 -2.575 0.886
0.373 -2.765 -6.604
10.648 -12.138 5.683
Pm Sb Rh
4 8 16
Cartesian
4.660 -12.420 -2.066
2.953 -5.057 2.031
8.439 -12.328 2.000
-0.826 -5.149 -2.036
5.097 -9.169 -1.673
2.515 -8.308 1.637
7.836 -14.350 4.542
-0.223 -3.127 -4.578
7.943 -12.809 -1.303
-0.330 -4.669 1.268
5.116 -11.645 1.941
2.497 -5.832 -1.977
6.793 -9.870 2.817
0.819 -7.607 -2.852
6.119 -13.501 0.408
1.493 -3.976 -0.443
6.623 -10.639 -0.076
0.990 -6.839 0.041
6.225 -12.245 4.465
1.388 -5.232 -4.500
4.885 -7.455 2.495
2.728 -10.023 -2.530
7.952 -15.350 2.082
-0.339 -2.127 -2.117
3.983 -7.237 -0.340
3.629 -10.241 0.305
-1.537 -5.344 -5.335
9.149 -12.134 5.300
```

Summary:
- V (Å³/atom) = 19.115
- energy relative to the lowest polymorph listed for this composition (meV per atom) = 7
- energy (eV per atom) = -6.638

---

Record 10
Pm8SbRh2 after structural relaxation. Source: the Alexandria database, functional PBE.

```
Pm8SbRh2
1.0
-4.369 2.715 2.366
-3.591 -7.213 -1.005
5.118 0.447 6.288
Pm Sb Rh
8 1 2
Cartesian
-3.941 -3.810 5.491
-1.765 -1.895 7.314
-0.413 -3.271 3.929
-3.640 -3.978 1.966
0.798 -0.074 5.683
-2.429 -0.781 3.720
-1.077 -2.157 0.335
1.100 -0.242 2.158
-2.185 1.357 1.183
2.543 -1.818 4.132
-1.016 -4.948 1.151
```

Summary:
- V (Å³/atom) = 29.739
- energy (eV per atom) = -5.571

---

Record 11
Pm2Sb5Rh3 after structural relaxation. Source: the Alexandria database, functional PBE.

```
Pm2Sb5Rh3
1.0
4.515 0.000 -0.769
0.000 7.469 0.000
-0.046 0.000 13.367
Pm Sb Rh
4 10 6
Cartesian
2.107 5.638 12.372
0.760 5.576 4.462
3.709 1.842 8.136
2.362 1.903 0.226
1.781 2.892 10.458
1.255 3.796 7.367
3.214 0.062 5.231
0.529 1.918 3.103
1.321 6.976 7.757
4.268 0.653 11.417
3.148 3.241 4.841
3.940 5.652 9.495
0.201 4.387 1.181
2.688 6.627 2.140
3.465 5.256 6.705
2.712 3.892 2.283
0.235 7.208 1.379
1.004 1.522 5.893
4.234 3.474 11.219
1.757 0.157 10.315
```

Summary:
- V (Å³/atom) = 22.525
- energy (eV per atom) = -5.924

---

Record 12
Pm2Sb3Rh4 after structural relaxation. Source: the Alexandria database, functional PBE.

```
Pm2Sb3Rh4
1.0
-3.931 1.263 -4.557
3.617 -4.758 -4.439
-2.806 -6.565 4.750
Pm Sb Rh
4 6 8
Cartesian
1.158 -4.015 -2.112
-4.278 -6.045 -2.134
-3.475 -5.148 1.570
0.354 -4.912 -5.816
0.000 0.000 0.000
-0.157 -1.747 -4.498
-0.773 -6.365 -3.172
-4.313 -3.064 -3.352
-2.348 -3.695 -1.074
1.193 -6.996 -0.894
-2.381 -8.365 -2.339
-2.705 -1.063 -4.186
-0.739 -1.695 -1.907
-0.416 -8.997 -0.061
1.924 -6.713 -3.521
-5.045 -3.347 -0.725
-1.387 -6.203 -0.523
-1.733 -3.856 -3.723
```

Summary:
- V (Å³/atom) = 20.361
- energy (eV per atom) = -6.471

---

Record 13
Pm2SbRh after structural relaxation. Source: the Alexandria database, functional PBE.

```
Pm2SbRh
1.0
-3.606 2.072 -1.047
-3.054 0.613 2.948
0.785 7.050 2.468
Sb Rh Pm
1 1 2
Cartesian
-2.937 4.867 2.185
0.000 0.000 0.000
-1.552 2.264 1.042
-4.323 7.471 3.327
```

Summary:
- V (Å³/atom) = 28.236
- energy relative to the lowest polymorph listed for this composition (meV per atom) = 25
- energy (eV per atom) = -5.980

---

Record 14
Pm3SbRh after structural relaxation. Source: the Alexandria database, functional PBE.

```
Pm3SbRh
1.0
-4.430 2.912 -1.099
-1.286 0.029 5.259
2.834 4.564 0.668
Sb Rh Pm
1 1 3
Cartesian
-1.441 3.752 2.414
0.000 0.000 0.000
-0.643 0.014 2.629
1.417 2.282 0.334
-2.215 1.456 -0.549
```

Summary:
- V (Å³/atom) = 31.735
- energy relative to the lowest polymorph listed for this composition (meV per atom) = 310
- energy (eV per atom) = -5.636

---

Record 15
PmSb2Rh4 after structural relaxation. Source: the Alexandria database, functional PBE.

```
PmSb2Rh4
1.0
-2.052 3.492 0.789
-3.404 -3.440 6.374
6.052 2.519 4.592
Pm Sb Rh
2 4 8
Cartesian
-1.026 1.746 0.394
1.324 -0.461 5.483
3.938 1.186 4.990
-1.291 -2.108 5.976
0.890 1.079 8.329
-0.294 1.491 3.426
1.818 0.589 2.122
0.830 -1.511 8.844
1.981 2.688 4.046
-1.385 -0.118 7.709
2.680 2.444 6.943
-2.084 0.126 4.812
-0.680 -0.985 2.592
3.327 0.063 8.373
```

Summary:
- V (Å³/atom) = 18.878
- energy relative to the lowest polymorph listed for this composition (meV per atom) = 0
- energy (eV per atom) = -6.645

---

Record 16
Pm5SbRh2 after structural relaxation. Source: the Alexandria database, functional PBE.

```
Pm5SbRh2
1.0
7.227 0.000 -3.411
-1.610 7.045 -3.411
-0.252 -0.317 8.825
Pm Sb Rh
10 2 4
Cartesian
2.447 4.736 2.224
4.100 6.810 -3.633
0.000 0.000 0.000
2.808 3.522 -3.411
1.263 -0.082 5.635
4.581 1.213 3.302
-0.871 3.440 4.557
0.783 5.515 -1.300
6.234 3.288 -2.554
2.917 1.992 -0.221
4.086 5.125 -0.704
1.278 1.603 2.707
0.421 2.545 -1.706
4.392 0.977 -2.652
1.224 6.068 -4.171
5.196 4.500 -5.117
```

Summary:
- V (Å³/atom) = 27.106
- energy (eV per atom) = -6.038

---

Record 17
Pm2Sb4Rh5 after structural relaxation. Source: the Alexandria database, functional PBE.

```
Pm2Sb4Rh5
1.0
-4.672 3.376 0.447
-4.992 -2.235 2.095
-0.145 3.740 7.636
Pm Sb Rh
2 4 5
Cartesian
-4.114 3.898 2.334
-0.702 3.218 5.749
-3.885 3.659 6.538
-5.924 1.221 3.639
-2.609 0.978 2.726
-7.199 3.902 7.451
-2.336 1.688 0.223
-2.496 -1.118 1.047
-4.832 0.570 1.271
-3.736 1.596 4.977
-6.072 3.284 5.200
```

Summary:
- V (Å³/atom) = 21.411
- energy (eV per atom) = -6.312

---

Record 18
Pm3Sb2Rh6 after structural relaxation. Source: the Alexandria database, functional PBE.

```
Pm3Sb2Rh6
1.0
-7.690 -3.073 0.032
4.221 -3.190 -6.371
3.792 -1.978 7.091
Pm Sb Rh
6 4 12
Cartesian
-2.787 -3.611 5.092
-1.111 -1.440 2.030
2.284 -1.473 0.205
5.729 -3.695 0.515
-0.989 -1.785 -1.807
-2.480 -4.477 -4.532
2.110 -1.595 -3.185
-3.845 -1.536 0.016
1.896 -0.989 3.545
0.162 -4.120 0.376
-1.264 -4.248 2.715
-3.679 -2.690 2.498
-0.219 -2.361 4.625
1.588 -3.993 -1.963
4.071 -2.766 -1.668
-2.573 -3.952 0.274
2.897 -4.288 0.478
3.942 -2.401 2.388
0.060 -3.149 -4.134
-1.114 -4.671 -1.988
1.438 -3.570 2.740
-3.529 -3.114 -2.205
```

Summary:
- V (Å³/atom) = 19.871
- energy (eV per atom) = -6.780

---

Record 19
Pm4SbRh2 after structural relaxation. Source: the Alexandria database, functional PBE.

```
Pm4SbRh2
1.0
-6.263 5.403 0.981
-1.452 -6.203 -5.365
1.663 -2.954 6.663
Pm Sb Rh
8 2 4
Cartesian
-5.794 2.575 2.150
-2.851 -1.759 -0.531
-5.264 -0.793 1.825
-3.713 0.844 5.032
-3.484 -4.721 -3.408
-0.489 -1.710 4.353
-2.699 -4.365 2.493
-5.955 0.337 -1.695
-1.874 -4.781 -0.478
1.614 -2.959 6.632
-2.699 -1.381 2.664
-5.342 -2.579 -1.514
-4.062 1.372 0.031
-0.124 -4.936 3.309
```

Summary:
- V (Å³/atom) = 26.893
- energy (eV per atom) = -6.084

---

Result set for energy relative to the elements, uncorrected: -1414.6; -1250.5; -612.1; -823.8; -800.5; -789.2; -476.6; -814.7; -580.7; -404.3; -706.8; -773.7; -736.3; -490.6; -588.0; -715.4; -607.5; -725.0; -680.4 meV/atom, one per record in the order listed.
Result set for N(E_F): 4.94; 1.33; 6.91; 8.50; 3.67; 4.09; 3.10; 2.87; 3.37; 13.67; 4.18; 5.27; 1.27; 5.52; 6.93; 7.61; 6.48; 10.09; 5.36 states/eV/f.u., one per record in the order listed.
Result set for M_tot: 0.00; 0.00; 0.00; 0.00; 0.00; 0.00; 0.00; 0.00; 0.00; 0.00; 0.00; 0.00; 0.00; 0.00; 0.00; 0.00; 0.00; 0.13; 0.00 μB per formula unit, one per record in the order listed.